The following is a DFT calculation (GGA-PBE) of an optimized crystal structure of NaCeYTl.

Unit cell a=5.4888 b=5.4888 c=5.4888 alpha=60.00 beta=60.00 gamma=60.00
With the nearest neighbours (Å) after each atom.
Fractional coordinates of all 4 atoms:
Ce: 0.2500 0.2500 0.2500  4 Tl 3.36, 4 Na 3.36
Na: 0.0000 0.0000 0.0000  4 Y 3.36, 4 Ce 3.36
Tl: 0.5000 0.5000 0.5000  4 Ce 3.36, 4 Y 3.36
Y: 0.7500 0.7500 0.7500  4 Na 3.36, 4 Tl 3.36

Output
- mass density (g cm⁻³) = 6.48
- formation enthalpy at 0 K (eV/atom) = 0.028

=====

The following is a DFT calculation (GGA-PBE) of an optimized crystal structure of SrZrB2Mo.

Unit cell a=4.6995 b=4.9868 c=4.6995 alpha=90.00 beta=90.00 gamma=90.00
With the nearest neighbours (Å) after each atom.
Fractional coordinates of all 5 atoms:
Mo: 0.0000 0.5000 0.0000  2 Zr 2.49
Sr: 0.5000 0.5000 0.5000  4 Mo 3.32, 8 B 3.43
Zr: 0.0000 0.0000 0.0000  4 B 2.35, 2 Mo 2.49
B: 0.5000 0.0000 0.0000  2 Zr 2.35
B: 0.0000 0.0000 0.5000  2 Zr 2.35

Output
- mass density (g cm⁻³) = 4.47
- formation enthalpy at 0 K (eV/atom) = 1.396

=====

Computed final energy, in the same sequence as the records: -3.99 -5.49 eV per atom.